# 1
This record from Alexandria describes an optimized crystal structure of LiFeBr2. The functional is GGA-PBE.

* energy relative to the elements, uncorrected: -47.01 kJ per mole of atoms
* magnetization: 0.750 μB/atom
* energy above the lowest structure with this stoichiometry: 0.16 eV/f.u.
* total energy: -0.2880 Ry/atom
* density of states at the Fermi level: 2.460 states/eV/cell

Unit cell a=7.5153 b=7.5153 c=3.5662 alpha=91.03 beta=91.03 gamma=27.38
Fractional positions:
Li 0.0000 0.0000 0.0000
Fe 0.3734 0.3734 0.4876
Br 0.5465 0.5465 0.5035
Br 0.8146 0.8146 0.9844

***

# 2
This record from Alexandria describes an optimized crystal structure of AlBrNF2. The functional is GGA-PBE.

* energy relative to the elements, uncorrected: -114.50 kJ per mole of atoms
* magnetization: 0.000 μB/atom
* energy above the lowest structure with this stoichiometry: 0.00 eV/f.u.
* total energy: -0.3442 Ry/atom
* density of states at the Fermi level: 1.327 states/eV/cell

Unit cell a=3.5971 b=3.5971 c=4.5407 alpha=90.00 beta=90.00 gamma=90.00
Fractional positions:
Al 0.0000 0.0000 0.0000
Br 0.5000 0.5000 0.5000
N 0.0000 0.0000 0.5000
F 0.0000 0.5000 0.0000
F 0.5000 0.0000 0.0000

***

# 3
This record from Alexandria describes an optimized crystal structure of TmPuO4. The functional is GGA-PBE.

* energy relative to the elements, uncorrected: -307.40 kJ per mole of atoms
* magnetization: 0.500 μB/atom
* total energy: -0.7075 Ry/atom
* density of states at the Fermi level: 11.784 states/eV/cell

Unit cell a=6.4870 b=6.4870 c=6.4870 alpha=131.83 beta=131.83 gamma=70.50
Fractional positions:
Tm 0.3750 0.6250 0.7500
Tm 0.6250 0.3750 0.2500
Pu 0.1250 0.8750 0.2500
Pu 0.8750 0.1250 0.7500
O 0.0000 0.2415 0.2415
O 0.0000 0.7585 0.7585
O 0.2415 0.0000 0.7415
O 0.2415 0.5000 0.2415
O 0.5000 0.2415 0.7415
O 0.5000 0.7585 0.2585
O 0.7585 0.0000 0.2585
O 0.7585 0.5000 0.7585

***

Look up the total energy of the second one.
-0.3442 Ry/atom